1.
Here is Ca4Ac3Nd2 after structural relaxation from Alexandria via LeMat-Bulk. Energies are from PBE-GGA.

Output
As for the formation enthalpy at 0 K: 0.055 eV/atom. The value obtained for the total energy is -3.263 eV/atom.

Cell and atoms, written as CIF:
```
data_Ca4Ac3Nd2
_chemical_formula_sum 'Ca8 Ac6 Nd4'
_space_group_name_H-M_alt 'C 1 2/m 1'
_space_group_IT_number 12
_cell_length_a 18.959
_cell_length_b 4.082
_cell_length_c 9.853
_cell_angle_alpha 90.00
_cell_angle_beta 103.37
_cell_angle_gamma 90.00
loop_
_space_group_symop_operation_xyz
'x,y,z'
'-x,-y,-z'
'-x,y,-z'
'x,-y,z'
'x+1/2,y+1/2,z'
'-x+1/2,-y+1/2,-z'
'-x+1/2,y+1/2,-z'
'x+1/2,-y+1/2,z'
loop_
_atom_site_label
_atom_site_type_symbol
_atom_site_fract_x
_atom_site_fract_y
_atom_site_fract_z
Ca1 Ca 0.050 0.000 0.351
Ca2 Ca 0.210 0.500 0.350
Ac1 Ac 0.000 0.500 0.000
Ac2 Ac 0.130 0.500 0.712
Nd1 Nd 0.176 0.000 0.036
```

2.
Here is SrCd2Te after structural relaxation from Alexandria via LeMat-Bulk. Energies are from PBE-GGA.

Output
The value obtained for the total energy is -2.263 eV/atom. The calculation puts the formation energy from raw total energies at -599.5 meV per atom.

Cell and atoms, written as CIF:
```
data_SrCd2Te
_chemical_formula_sum 'Sr1 Cd2 Te1'
_space_group_name_H-M_alt 'P 4/m m m'
_space_group_IT_number 123
_space_group_name_Hall '-P 4 2'
_cell_length_a 4.605
_cell_length_b 4.605
_cell_length_c 5.808
_cell_angle_alpha 90.00
_cell_angle_beta 90.00
_cell_angle_gamma 90.00
loop_
_atom_site_label
_atom_site_type_symbol
_atom_site_fract_x
_atom_site_fract_y
_atom_site_fract_z
Sr1 Sr 0.000 0.000 0.000
Cd1 Cd 0.000 0.500 0.500
Te1 Te 0.500 0.500 0.000
```

3.
Here is Tb4SmHo6 after structural relaxation from Alexandria via LeMat-Bulk. Energies are from PBE-GGA.

Output
As for the formation enthalpy at 0 K: 0.448 eV/atom. The value obtained for the total energy is -4.162 eV/atom. The value obtained for the energy above the most stable polymorph in this dataset is 324 meV per atom.

Cell and atoms, written as CIF:
```
data_Tb4SmHo6
_chemical_formula_sum 'Tb8 Sm2 Ho12'
_space_group_name_H-M_alt 'I -4 2 m'
_space_group_IT_number 121
_space_group_name_Hall 'I -4 2'
_cell_length_a 7.635
_cell_length_b 7.635
_cell_length_c 12.979
_cell_angle_alpha 90.00
_cell_angle_beta 90.00
_cell_angle_gamma 90.00
loop_
_atom_site_label
_atom_site_type_symbol
_atom_site_fract_x
_atom_site_fract_y
_atom_site_fract_z
Tb1 Tb 0.168 0.168 0.424
Sm1 Sm 0.000 0.000 0.000
Ho1 Ho 0.000 0.500 0.000
Ho2 Ho 0.246 0.246 0.185
```

4.
Here is CeDyZr after structural relaxation from Alexandria via LeMat-Bulk. Energies are from PBE-GGA.

Output
As for the formation enthalpy at 0 K: 0.109 eV/atom. The value obtained for the total energy is -6.252 eV/atom. The value obtained for the energy above the most stable polymorph in this dataset is 17 meV per atom.

Cell and atoms, written as CIF:
```
data_CeDyZr
_chemical_formula_sum 'Ce2 Dy2 Zr2'
_space_group_name_H-M_alt 'I 4 m m'
_space_group_IT_number 107
_space_group_name_Hall 'I 4 -2'
_cell_length_a 3.310
_cell_length_b 3.310
_cell_length_c 15.026
_cell_angle_alpha 90.00
_cell_angle_beta 90.00
_cell_angle_gamma 90.00
loop_
_atom_site_label
_atom_site_type_symbol
_atom_site_fract_x
_atom_site_fract_y
_atom_site_fract_z
Ce1 Ce 0.000 0.000 0.000
Dy1 Dy 0.000 0.000 0.318
Zr1 Zr 0.000 0.000 0.659
```